A plane-wave DFT calculation with PBE was carried out for an optimized crystal structure of SrCaZrTc2.

* magnetic moment: 1.917 μB/cell
* energy of formation from the pure elements: 1.166 eV/atom
* DOS(E_F): 4.9 states/eV/cell

a b c (Å): 4.9491 5.7289 4.9491
angles (deg): 90.00 90.00 90.00
Each line ends with the local moment (μB).
Atoms (fractional coordinates):
1 Zr 0.0000 0.0000 0.0000  -0.12
2 Tc 0.5000 0.0000 0.0000  1.13
3 Sr 0.0000 0.5000 0.0000  -0.04
4 Tc 0.0000 0.0000 0.5000  0.87
5 Ca 0.5000 0.5000 0.5000  -0.01